Material: Rb3NdY2Te6
Method: DFT, PBE-GGA
State: relaxed

Values from the calculation:
The calculation puts the total energy at -4.69 eV per atom.

Geometry as POSCAR:
```
Rb3NdY2Te6
1.0
3.958 -6.854 0.000
3.958 6.854 0.000
-2.642 0.000 8.558
Rb Nd Y Te
3 1 2 6
Direct
0.000 0.000 0.000
0.335 0.665 0.000
0.665 0.335 0.000
0.500 0.500 0.500
0.167 0.833 0.500
0.833 0.167 0.500
0.092 0.433 0.298
0.227 0.227 0.701
0.433 0.092 0.298
0.567 0.908 0.702
0.773 0.773 0.299
0.908 0.567 0.702
```